Run i
Crystalline Pa2GaO at its relaxed geometry, computed with PBE-GGA.

a = 3.092 Å, b = 3.092 Å, c = 7.553 Å
α = 90.00°, β = 90.00°, γ = 90.00°
Space group P4/mmm (No. 123)
Asymmetric unit:
Pa1 0.000 0.000 0.213 x2
Ga1 0.500 0.500 0.500 x1
O1 0.500 0.500 0.000 x1

=====

Run ii
Crystalline Pa2GaO at its relaxed geometry, computed with PBE-GGA.

a = 3.2201 Å, b = 3.2201 Å, c = 24.9746 Å
α = 90.00°, β = 90.00°, γ = 120.00°
Space group R-3m (No. 166, hexagonal axes)
Asymmetric unit:
Pa1 0.0000 0.0000 0.2326 x6
Ga1 0.0000 0.0000 0.0000 x3
O1 0.0000 0.0000 0.5000 x3

=====

Energetically preferred structure: run ii | next structure: +387 meV per atom

=====

Run i
Crystalline PaGaO4 at its relaxed geometry, computed with PBE-GGA.

a = 5.183 Å, b = 5.183 Å, c = 10.518 Å
α = 90.00°, β = 90.00°, γ = 90.00°
Space group I4_1/amd (No. 141, origin choice 2)
Asymmetric unit:
Pa1 0.000 0.250 0.375 x4
Ga1 0.000 0.250 0.875 x4
O1 0.241 0.000 0.000 x16

=====

Run ii
Crystalline PaGaO4 at its relaxed geometry, computed with PBE-GGA.

a = 5.189 Å, b = 5.189 Å, c = 9.775 Å
α = 90.00°, β = 90.00°, γ = 90.00°
Space group P-42c (No. 112)
Asymmetric unit:
Pa1 0.000 0.000 0.000 x2
Ga1 0.000 0.500 0.250 x2
O1 0.158 0.274 0.372 x8

=====

Energetically preferred structure: run i | next structure: +107 meV per atom

=====

Run i
Crystalline Ga2PbO at its relaxed geometry, computed with PBE-GGA.

a = 5.472 Å, b = 5.472 Å, c = 11.377 Å
α = 90.00°, β = 90.00°, γ = 90.00°
Space group I-42d (No. 122)
Asymmetric unit:
Ga1 0.139 0.250 0.125 x8
Pb1 0.000 0.000 0.500 x4
O1 0.000 0.000 0.000 x4

=====

Run ii
Crystalline Ga2PbO at its relaxed geometry, computed with PBE-GGA.

a = 6.740 Å, b = 6.740 Å, c = 6.740 Å
α = 90.00°, β = 90.00°, γ = 90.00°
Space group Fm-3m (No. 225)
Asymmetric unit:
Ga1 0.250 0.250 0.250 x8
Pb1 0.000 0.000 0.000 x4
O1 0.000 0.000 0.500 x4

=====

Energetically preferred structure: run i | next structure: +598 meV per atom

=====

Run i
Crystalline Ga2PbO4 at its relaxed geometry, computed with PBE-GGA.

a = 8.717 Å, b = 9.508 Å, c = 5.335 Å
α = 90.00°, β = 90.00°, γ = 90.00°
Space group Ama2 (No. 40)
Asymmetric unit:
Ga1 0.052 0.173 0.000 x8
Pb1 0.250 0.030 0.539 x4
O1 0.000 0.000 0.861 x4
O2 0.059 0.183 0.347 x8
O3 0.250 0.192 0.862 x4

=====

Run ii
Crystalline Ga2PbO4 at its relaxed geometry, computed with PBE-GGA.

a = 7.736 Å, b = 7.736 Å, c = 6.894 Å
α = 90.00°, β = 90.00°, γ = 90.00°
Space group I-42d (No. 122)
Asymmetric unit:
Ga1 0.073 0.750 0.125 x8
Pb1 0.000 0.000 0.500 x4
O1 0.055 0.220 0.893 x16

=====

Run iii
Crystalline Ga2PbO4 at its relaxed geometry, computed with PBE-GGA.

a = 4.418 Å, b = 4.418 Å, c = 5.829 Å
α = 90.00°, β = 90.00°, γ = 90.00°
Space group P-42m (No. 111)
Asymmetric unit:
Ga1 0.000 0.500 0.000 x2
Pb1 0.000 0.000 0.500 x1
O1 0.252 0.252 0.819 x4

=====

Energetically preferred structure: run i | next structure: +116 meV per atom

=====

Run i
Crystalline Ga3PbO at its relaxed geometry, computed with PBE-GGA.

a = 5.507 Å, b = 5.507 Å, c = 5.507 Å
α = 90.00°, β = 90.00°, γ = 90.00°
Space group Pm-3m (No. 221)
Asymmetric unit:
Ga1 0.000 0.000 0.500 x3
Pb1 0.000 0.000 0.000 x1
O1 0.500 0.500 0.500 x1

=====

Run ii
Crystalline Ga3PbO at its relaxed geometry, computed with PBE-GGA.

a = 4.593 Å, b = 4.593 Å, c = 4.593 Å
α = 90.00°, β = 90.00°, γ = 90.00°
Space group Pm-3m (No. 221)
Asymmetric unit:
Ga1 0.000 0.000 0.500 x3
Pb1 0.500 0.500 0.500 x1
O1 0.000 0.000 0.000 x1

=====

Energetically preferred structure: run ii | next structure: +1128 meV per atom

=====

Run i
Crystalline GaPd3O at its relaxed geometry, computed with PBE-GGA.

a = 4.636 Å, b = 4.636 Å, c = 4.636 Å
α = 90.00°, β = 90.00°, γ = 90.00°
Space group Pm-3m (No. 221)
Asymmetric unit:
Ga1 0.000 0.000 0.000 x1
Pd1 0.000 0.000 0.500 x3
O1 0.500 0.500 0.500 x1

=====

Run ii
Crystalline GaPd3O at its relaxed geometry, computed with PBE-GGA.

a = 4.237 Å, b = 4.237 Å, c = 4.237 Å
α = 90.00°, β = 90.00°, γ = 90.00°
Space group Pm-3m (No. 221)
Asymmetric unit:
Ga1 0.000 0.000 0.000 x1
Pd1 0.000 0.500 0.500 x3
O1 0.500 0.500 0.500 x1

=====

Energetically preferred structure: run ii | next structure: +903 meV per atom

=====

Run i
Crystalline Pm4Ga2O at its relaxed geometry, computed with PBE-GGA.

a = 4.720 Å, b = 4.720 Å, c = 16.003 Å
α = 90.00°, β = 90.00°, γ = 90.00°
Space group I4/mmm (No. 139)
Asymmetric unit:
Pm1 0.000 0.000 0.176 x4
Pm2 0.000 0.500 0.000 x4
Ga1 0.000 0.000 0.365 x4
O1 0.000 0.000 0.000 x2

=====

Run ii
Crystalline Pm4Ga2O at its relaxed geometry, computed with PBE-GGA.

a = 6.667 Å, b = 6.928 Å, c = 8.646 Å
α = 90.00°, β = 108.90°, γ = 90.00°
Space group P2_1/m (No. 11)
Asymmetric unit:
Pm1 0.009 0.001 0.262 x4
Pm2 0.409 0.750 0.076 x2
Pm3 0.439 0.750 0.637 x2
Ga1 0.200 0.250 0.041 x2
Ga2 0.263 0.250 0.573 x2
O1 0.230 0.750 0.803 x2

=====

Energetically preferred structure: run i | next structure: +12 meV per atom

=====

Run i
Crystalline Pm2GaO at its relaxed geometry, computed with PBE-GGA.

a = 3.482 Å, b = 3.384 Å, c = 14.958 Å
α = 90.00°, β = 90.00°, γ = 90.00°
Space group Amm2 (No. 38)
Asymmetric unit:
Pm1 0.000 0.000 0.000 x2
Pm2 0.500 0.000 0.303 x2
Ga1 0.500 0.000 0.627 x2
O1 0.000 0.000 0.841 x2

=====

Run ii
Crystalline Pm2GaO at its relaxed geometry, computed with PBE-GGA.

a = 3.177 Å, b = 3.177 Å, c = 7.604 Å
α = 90.00°, β = 90.00°, γ = 90.00°
Space group P4/mmm (No. 123)
Asymmetric unit:
Pm1 0.000 0.000 0.209 x2
Ga1 0.500 0.500 0.500 x1
O1 0.500 0.500 0.000 x1

=====

Run iii
Crystalline Pm2GaO at its relaxed geometry, computed with PBE-GGA.

a = 3.6850 Å, b = 3.6850 Å, c = 21.7662 Å
α = 90.00°, β = 90.00°, γ = 120.00°
Space group R-3m (No. 166, hexagonal axes)
Asymmetric unit:
Pm1 0.0000 0.0000 0.2310 x6
Ga1 0.0000 0.0000 0.0000 x3
O1 0.0000 0.0000 0.5000 x3

=====

Energetically preferred structure: run iii | next structure: +106 meV per atom

=====

Run i
Crystalline PmGaO at its relaxed geometry, computed with PBE-GGA.

a = 3.404 Å, b = 3.404 Å, c = 9.158 Å
α = 90.00°, β = 90.00°, γ = 90.00°
Space group P4/nmm (No. 129, origin choice 2)
Asymmetric unit:
Pm1 0.250 0.250 0.161 x2
Ga1 0.250 0.250 0.571 x2
O1 0.250 0.250 0.901 x2

=====

Run ii
Crystalline PmGaO at its relaxed geometry, computed with PBE-GGA.

a = 5.613 Å, b = 5.613 Å, c = 7.951 Å
α = 90.00°, β = 90.18°, γ = 90.00°
Space group C2/m (No. 12)
Asymmetric unit:
Pm1 0.249 0.000 0.354 x4
Ga1 0.249 0.500 0.056 x4
O1 0.000 0.250 0.500 x4

=====

Energetically preferred structure: run ii | next structure: +105 meV per atom

=====

Run i
Crystalline Ga3PtO at its relaxed geometry, computed with PBE-GGA.

a = 4.276 Å, b = 4.276 Å, c = 4.276 Å
α = 90.00°, β = 90.00°, γ = 90.00°
Space group Pm-3m (No. 221)
Asymmetric unit:
Ga1 0.000 0.000 0.500 x3
Pt1 0.500 0.500 0.500 x1
O1 0.000 0.000 0.000 x1

=====

Run ii
Crystalline Ga3PtO at its relaxed geometry, computed with PBE-GGA.

a = 4.773 Å, b = 4.773 Å, c = 4.773 Å
α = 90.00°, β = 90.00°, γ = 90.00°
Space group Pm-3m (No. 221)
Asymmetric unit:
Ga1 0.000 0.000 0.500 x3
Pt1 0.000 0.000 0.000 x1
O1 0.500 0.500 0.500 x1

=====

Energetically preferred structure: run i | next structure: +181 meV per atom

=====

Run i
Crystalline Ga3ReO at its relaxed geometry, computed with PBE-GGA.

a = 4.153 Å, b = 4.153 Å, c = 4.153 Å
α = 90.00°, β = 90.00°, γ = 90.00°
Space group Pm-3m (No. 221)
Asymmetric unit:
Ga1 0.000 0.000 0.500 x3
Re1 0.500 0.500 0.500 x1
O1 0.000 0.000 0.000 x1

=====

Run ii
Crystalline Ga3ReO at its relaxed geometry, computed with PBE-GGA.

a = 4.859 Å, b = 4.859 Å, c = 4.859 Å
α = 90.00°, β = 90.00°, γ = 90.00°
Space group Pm-3m (No. 221)
Asymmetric unit:
Ga1 0.000 0.000 0.500 x3
Re1 0.000 0.000 0.000 x1
O1 0.500 0.500 0.500 x1

=====

Energetically preferred structure: run i | next structure: +507 meV per atom

=====

Run i
Crystalline GaRh3O at its relaxed geometry, computed with PBE-GGA.

a = 4.596 Å, b = 4.596 Å, c = 4.596 Å
α = 90.00°, β = 90.00°, γ = 90.00°
Space group Pm-3m (No. 221)
Asymmetric unit:
Ga1 0.000 0.000 0.000 x1
Rh1 0.000 0.000 0.500 x3
O1 0.500 0.500 0.500 x1

=====

Run ii
Crystalline GaRh3O at its relaxed geometry, computed with PBE-GGA.

a = 4.109 Å, b = 4.109 Å, c = 4.109 Å
α = 90.00°, β = 90.00°, γ = 90.00°
Space group Pm-3m (No. 221)
Asymmetric unit:
Ga1 0.000 0.000 0.000 x1
Rh1 0.000 0.500 0.500 x3
O1 0.500 0.500 0.500 x1

=====

Energetically preferred structure: run ii | next structure: +1362 meV per atom